VASP calculation (GGA-PBE) on a relaxed TcOs2Cl crystal.

Unit cell a=5.8389 b=5.8389 c=6.2708 alpha=62.25 beta=62.25 gamma=90.00
Last column: nearest neighbours and their distance in Å.
Positions (direct):
Os: 0.3750 0.3773 0.7500  2 Cl 2.37, 2 Tc 2.39
Os: 0.8750 0.8727 0.7500  2 Cl 2.37, 2 Tc 2.39
Os: 0.6227 0.1250 0.2500  2 Cl 2.37, 2 Tc 2.39
Os: 0.1273 0.6250 0.2500  2 Cl 2.37, 2 Tc 2.39
Tc: 0.7500 0.2500 0.5000  4 Os 2.39
Tc: 0.0000 0.0000 0.0000  4 Os 2.39
Cl: 0.2500 0.7500 0.5000  4 Os 2.37
Cl: 0.5000 0.5000 0.0000  4 Os 2.37

The value obtained for the excess energy over the best structure of this formula in the dataset is 0.931 eV per atom. Its crystal system is tetragonal.

VASP calculation (GGA-PBE) on a relaxed ThAl2Re2Si crystal.

Unit cell a=4.5272 b=4.5272 c=5.6619 alpha=90.00 beta=90.00 gamma=90.00
Last column: nearest neighbours and their distance in Å.
Positions (direct):
Al: 0.5000 0.5000 0.7409  4 Re 2.70, 2 Al 2.73-2.93
Al: 0.5000 0.5000 0.2591  4 Re 2.70, 2 Al 2.73-2.93
Si: 0.0000 0.0000 0.0000  4 Re 2.26
Th: 0.0000 0.0000 0.5000  2 Si 2.83
Re: 0.5000 0.0000 0.0000  2 Si 2.26
Re: 0.0000 0.5000 0.0000  2 Si 2.26

Its raw total energy is -7.666 eV/atom. Its crystal system is tetragonal.

VASP calculation (GGA-PBE) on a relaxed TaSiNi2 crystal.

Unit cell a=3.9688 b=2.7477 c=4.9150 alpha=95.59 beta=90.00 gamma=90.00
Last column: nearest neighbours and their distance in Å.
Positions (direct):
Si: 0.5000 0.0000 0.5000  4 Ni 2.34
Ni: 0.0000 0.9409 0.7482  2 Si 2.34, 2 Ni 2.47-2.49
Ni: 0.0000 0.0591 0.2518  2 Si 2.34, 2 Ni 2.47-2.49
Ta: 0.5000 0.5000 0.0000  8 Ni 2.69-2.73, 4 Si 2.70-2.93, 2 Ta 2.75

Its raw total energy is -7.546 eV/atom. Its crystal system is monoclinic.